## Sr2CrIO6 (PBE with a Hubbard U)

Data for a geometry-optimized Sr2CrIO6 structure.

Computed properties:
**Total DFT energy (no corrections)**: -5.947 eV per atom

CIF file:
```
data_Sr2CrIO6
_symmetry_space_group_name_H-M 'C 1 2 1'
_symmetry_Int_Tables_number 5
_symmetry_space_group_name_Hall 'C 2y'
_cell_length_a 11.058
_cell_length_b 5.858
_cell_length_c 5.671
_cell_angle_alpha 90.00
_cell_angle_beta 118.62
_cell_angle_gamma 90.00
loop_
_atom_site_label
_atom_site_fract_x
_atom_site_fract_y
_atom_site_fract_z
Sr1 0.243 0.000 0.226
Cr1 0.000 0.509 0.000
I1 0.000 0.994 0.500
O1 0.081 0.705 0.875
O2 0.099 0.205 0.788
O3 0.144 0.399 0.274
```